A crystal of CrMo4As relaxed with PBEsol. Source: the Alexandria database, functional SCAN.

**Space-group type**: F-43m
**Energy of formation**: 566 meV per atom

a = 5.1222 Å, b = 5.1222 Å, c = 5.1222 Å
α = 60.00°, β = 60.00°, γ = 60.00°
Fractional coordinates of all 6 atoms:
Cr: 0.0000 0.0000 0.0000
Mo: 0.1267 0.6244 0.6244
Mo: 0.6244 0.1267 0.6244
Mo: 0.6244 0.6244 0.1267
Mo: 0.6244 0.6244 0.6244
As: 0.2500 0.2500 0.2500


A crystal of Cr2AsN relaxed with PBEsol. Source: the Alexandria database, functional SCAN.

**Space-group type**: I-42d

a = 5.7627 Å, b = 5.7627 Å, c = 5.7627 Å
α = 128.89°, β = 128.89°, γ = 75.18°
Fractional coordinates of all 8 atoms:
Cr: 0.0344 0.6250 0.9094
Cr: 0.3750 0.2844 0.4094
Cr: 0.7156 0.1250 0.0906
Cr: 0.8750 0.9656 0.5906
As: 0.2500 0.7500 0.5000
As: 0.5000 0.5000 0.0000
N: 0.0000 0.0000 0.0000
N: 0.7500 0.2500 0.5000


A crystal of CrAs3N relaxed with PBEsol. Source: the Alexandria database, functional SCAN.

**Space-group type**: Pm-3m

a = 4.4633 Å, b = 4.4633 Å, c = 4.4633 Å
α = 90.00°, β = 90.00°, γ = 90.00°
Fractional coordinates of all 5 atoms:
Cr: 0.0000 0.0000 0.0000
As: 0.0000 0.0000 0.5000
As: 0.0000 0.5000 0.0000
As: 0.5000 0.0000 0.0000
N: 0.5000 0.5000 0.5000


A crystal of CrAsS2N relaxed with PBEsol. Source: the Alexandria database, functional SCAN.

**Space-group type**: P4/mmm

a = 4.6123 Å, b = 4.6123 Å, c = 3.4795 Å
α = 90.00°, β = 90.00°, γ = 90.00°
Fractional coordinates of all 5 atoms:
Cr: 0.0000 0.0000 0.0000
As: 0.5000 0.5000 0.5000
S: 0.0000 0.5000 0.0000
S: 0.5000 0.0000 0.0000
N: 0.0000 0.0000 0.5000


A crystal of SrCrAs2N relaxed with PBEsol. Source: the Alexandria database, functional SCAN.

**Space-group type**: P4/mmm

a = 4.9547 Å, b = 4.9547 Å, c = 3.7032 Å
α = 90.00°, β = 90.00°, γ = 90.00°
Fractional coordinates of all 5 atoms:
Sr: 0.0000 0.0000 0.0000
Cr: 0.5000 0.5000 0.0000
As: 0.0000 0.5000 0.5000
As: 0.5000 0.0000 0.5000
N: 0.5000 0.5000 0.5000


A crystal of TiCrAsN2 relaxed with PBEsol. Source: the Alexandria database, functional SCAN.

**Space-group type**: P4/mmm

a = 3.6306 Å, b = 3.6306 Å, c = 4.8533 Å
α = 90.00°, β = 90.00°, γ = 90.00°
Fractional coordinates of all 5 atoms:
Ti: 0.0000 0.0000 0.0000
Cr: 0.5000 0.5000 0.5000
As: 0.5000 0.5000 0.0000
N: 0.0000 0.5000 0.5000
N: 0.5000 0.0000 0.5000


A crystal of TlCr2AsN relaxed with PBEsol. Source: the Alexandria database, functional SCAN.

**Space-group type**: P4/mmm

a = 3.9976 Å, b = 3.9976 Å, c = 4.6227 Å
α = 90.00°, β = 90.00°, γ = 90.00°
Fractional coordinates of all 5 atoms:
Tl: 0.0000 0.0000 0.0000
Cr: 0.0000 0.5000 0.5000
Cr: 0.5000 0.0000 0.5000
As: 0.5000 0.5000 0.0000
N: 0.5000 0.5000 0.5000


A crystal of NaCr2As2 relaxed with PBEsol. Source: the Alexandria database, functional SCAN.

**Space-group type**: I4/mmm
**Energy of formation**: -207 meV per atom

a = 7.7101 Å, b = 7.7101 Å, c = 7.7101 Å
α = 154.04°, β = 154.04°, γ = 37.04°
Fractional coordinates of all 5 atoms:
Na: 0.0000 0.0000 0.0000
Cr: 0.2500 0.7500 0.5000
Cr: 0.7500 0.2500 0.5000
As: 0.3670 0.3670 0.0000
As: 0.6330 0.6330 0.0000


A crystal of NaZrCr2As relaxed with PBEsol. Source: the Alexandria database, functional SCAN.

**Space-group type**: P4/mmm
**Energy of formation**: 630 meV per atom

a = 4.5072 Å, b = 4.5072 Å, c = 4.7520 Å
α = 90.00°, β = 90.00°, γ = 90.00°
Fractional coordinates of all 5 atoms:
Na: 0.0000 0.0000 0.0000
Zr: 0.5000 0.5000 0.0000
Cr: 0.0000 0.5000 0.5000
Cr: 0.5000 0.0000 0.5000
As: 0.0000 0.0000 0.5000


A crystal of NbCrAs2S relaxed with PBEsol. Source: the Alexandria database, functional SCAN.

**Space-group type**: P4/mmm

a = 4.6847 Å, b = 4.6847 Å, c = 4.1991 Å
α = 90.00°, β = 90.00°, γ = 90.00°
Fractional coordinates of all 5 atoms:
Nb: 0.0000 0.0000 0.0000
Cr: 0.5000 0.5000 0.5000
As: 0.0000 0.5000 0.5000
As: 0.5000 0.0000 0.5000
S: 0.5000 0.5000 0.0000


A crystal of Cr5NiAs3 relaxed with PBEsol. Source: the Alexandria database, functional SCAN.

**Space-group type**: Amm2
**Energy of formation**: -273 meV per atom

a = 3.5377 Å, b = 6.2065 Å, c = 6.2065 Å
α = 120.29°, β = 90.00°, γ = 90.00°
Fractional coordinates of all 9 atoms:
Cr: 0.0000 0.0000 0.0000
Cr: 0.0000 0.3884 0.8080
Cr: 0.0000 0.8080 0.3884
Cr: 0.5000 0.1465 0.3910
Cr: 0.5000 0.3910 0.1465
Ni: 0.5000 0.6551 0.6551
As: 0.0000 0.4151 0.4151
As: 0.5000 0.0579 0.7250
As: 0.5000 0.7250 0.0579


A crystal of CrNi2As relaxed with PBEsol. Source: the Alexandria database, functional SCAN.

**Space-group type**: P2/m
**Energy of formation**: -4 meV per atom

a = 2.6317 Å, b = 3.8348 Å, c = 4.8384 Å
α = 90.00°, β = 104.55°, γ = 90.00°
Fractional coordinates of all 4 atoms:
Cr: 0.0000 0.0000 0.0000
Ni: 0.3712 0.5000 0.7498
Ni: 0.6288 0.5000 0.2502
As: 0.5000 0.0000 0.5000


Going through the records in order, we get uncorrected energy values of -174.719, -135.407, -82.094, -66.051, -90.868, -72.050, -137.427, -82.399, -88.725, -99.322, -171.125, -70.938 eV for the cell shown.